(1)
Compound: Ti3SbS8
Source: Alexandria via LeMat-Bulk
Functional: PBE
Structure: relaxed

Cell: 12.248 7.079 7.858 Å, 90.00 122.06 90.00°
Space group C2/m (No. 12)
Symmetry-distinct sites (fractional):
Ti (0.000, 0.000, 0.000) x2
Ti (0.250, 0.250, 0.000) x4
Sb (0.000, 0.500, 0.000) x2
S (0.015, 0.239, 0.787) x8
S (0.237, 0.000, 0.207) x4
S (0.247, 0.500, 0.213) x4

Computed properties:
- D(E_F) (states/eV/atom) = 0.223
- formation energy without anion corrections (eV/atom) = -0.967

(2)
Compound: TiSb3S
Source: Alexandria via LeMat-Bulk
Functional: PBE
Structure: relaxed

Cell: 5.192 5.192 5.192 Å, 90.00 90.00 90.00°
Space group Pm-3m (No. 221)
Symmetry-distinct sites (fractional):
Ti (0.000, 0.000, 0.000) x1
Sb (0.000, 0.000, 0.500) x3
S (0.500, 0.500, 0.500) x1

Computed properties:
- D(E_F) (states/eV/atom) = 0.826
- energy above the most stable polymorph in this dataset (meV/atom) = 0.0
- formation energy without anion corrections (eV/atom) = 0.340